# 1
The following is a DFT calculation (PBE-GGA) of crystalline PmRe4Si4 at its relaxed geometry.

abc: 8.1291 8.1291 4.6796
angles: 90.00 90.00 90.00
Sites, in units of the cell vectors:
Pm1 0.2500 0.2500 0.2500
Pm2 0.7500 0.7500 0.7500
Re1 0.1251 0.8716 0.6600
Re2 0.1284 0.6251 0.1600
Re3 0.3716 0.8749 0.1600
Re4 0.3749 0.6284 0.6600
Re5 0.6251 0.3716 0.3400
Re6 0.6284 0.1251 0.8400
Re7 0.8716 0.3749 0.8400
Re8 0.8749 0.1284 0.3400
Si1 0.0513 0.9072 0.1649
Si2 0.0928 0.5513 0.6649
Si3 0.4072 0.9487 0.6649
Si4 0.4487 0.5928 0.1649
Si5 0.5513 0.4072 0.8351
Si6 0.5928 0.0513 0.3351
Si7 0.9072 0.4487 0.3351
Si8 0.9487 0.0928 0.8351

As for the total energy: -157.486 eV for the cell shown.

# 2
The following is a DFT calculation (PBE-GGA) of crystalline PmRe3Si3 at its relaxed geometry.

abc: 7.3968 4.1927 7.9824
angles: 90.00 99.04 90.00
Sites, in units of the cell vectors:
Pm1 0.1634 0.2500 0.3744
Pm2 0.8366 0.7500 0.6256
Re1 0.2764 0.7500 0.7928
Re2 0.3852 0.2500 0.0349
Re3 0.4925 0.2500 0.7306
Re4 0.5075 0.7500 0.2694
Re5 0.6148 0.7500 0.9651
Re6 0.7236 0.2500 0.2072
Si1 0.1021 0.2500 0.7998
Si2 0.2040 0.7500 0.0936
Si3 0.4277 0.7500 0.5499
Si4 0.5723 0.2500 0.4501
Si5 0.7960 0.2500 0.9064
Si6 0.8979 0.7500 0.2002

The offset from the most stable computed form is 0 kJ/mol of formula units.

# 3
The following is a DFT calculation (PBE-GGA) of crystalline PmRe2Si2 at its relaxed geometry.

abc: 6.0334 6.0334 6.0334
angles: 140.48 140.48 57.12
Sites, in units of the cell vectors:
Pm1 0.0000 0.0000 0.0000
Re1 0.2500 0.7500 0.5000
Re2 0.7500 0.2500 0.5000
Si1 0.3809 0.3809 0.0000
Si2 0.6191 0.6191 0.0000

The offset from the most stable computed form is 37 kJ/mol of formula units.

# 4
The following is a DFT calculation (PBE-GGA) of crystalline PmRe4Si2 at its relaxed geometry.

abc: 7.2993 7.2993 4.1162
angles: 90.00 90.00 146.94
Sites, in units of the cell vectors:
Pm1 0.0000 0.0000 0.0000
Re1 0.1886 0.8114 0.5000
Re2 0.3045 0.6955 0.0000
Re3 0.6955 0.3045 0.0000
Re4 0.8114 0.1886 0.5000
Si1 0.4120 0.5880 0.5000
Si2 0.5880 0.4120 0.5000

As for the total energy: -68.452 eV for the cell shown.

# 5
The following is a DFT calculation (PBE-GGA) of crystalline PmRe2Si2 at its relaxed geometry.

abc: 10.8660 10.8660 10.8660
angles: 158.17 157.84 31.30
Sites, in units of the cell vectors:
Pm1 0.4145 0.1645 0.2500
Pm2 0.5855 0.8355 0.7500
Re1 0.2130 0.9630 0.2500
Re2 0.2899 0.5399 0.7500
Re3 0.7101 0.4601 0.2500
Re4 0.7870 0.0370 0.7500
Si1 0.0281 0.2781 0.7500
Si2 0.1434 0.3934 0.7500
Si3 0.8566 0.6066 0.2500
Si4 0.9719 0.7219 0.2500

The offset from the most stable computed form is 0 kJ/mol of formula units.

# 6
The following is a DFT calculation (PBE-GGA) of crystalline Pm3Re3Si8 at its relaxed geometry.

abc: 8.0070 8.0070 8.0070
angles: 149.61 103.88 84.11
Sites, in units of the cell vectors:
Pm1 0.0000 0.0000 0.0000
Pm2 0.3170 0.3170 0.0000
Pm3 0.6830 0.6830 0.0000
Re1 0.2721 0.5000 0.7721
Re2 0.5000 0.0000 0.5000
Re3 0.7279 0.5000 0.2279
Si1 0.0345 0.6671 0.3674
Si2 0.1701 0.8794 0.2907
Si3 0.2997 0.6671 0.6326
Si4 0.4114 0.1206 0.2907
Si5 0.5886 0.8794 0.7093
Si6 0.7003 0.3329 0.3674
Si7 0.8299 0.1206 0.7093
Si8 0.9655 0.3329 0.6326

As for the total energy: -100.079 eV for the cell shown.

# 7
The following is a DFT calculation (PBE-GGA) of crystalline Pm2ReSi6 at its relaxed geometry.

abc: 5.7734 5.7734 5.4375
angles: 90.07 90.07 60.06
Sites, in units of the cell vectors:
Pm1 0.1670 0.1670 0.1629
Pm2 0.8330 0.8330 0.8371
Re1 0.5000 0.5000 0.0000
Si1 0.1408 0.6802 0.3252
Si2 0.3203 0.3203 0.6745
Si3 0.3199 0.8592 0.6748
Si4 0.6802 0.1408 0.3252
Si5 0.6797 0.6797 0.3255
Si6 0.8592 0.3199 0.6748

As for the total energy: -58.090 eV for the cell shown.

# 8
The following is a DFT calculation (PBE-GGA) of crystalline PmReSi3 at its relaxed geometry.

abc: 5.8747 5.8747 5.8747
angles: 137.34 137.34 61.91
Sites, in units of the cell vectors:
Pm1 0.0000 0.0000 0.0000
Re1 0.6575 0.6575 0.0000
Si1 0.2640 0.7640 0.5000
Si2 0.4229 0.4229 0.0000
Si3 0.7640 0.2640 0.5000

As for the total energy: -35.627 eV for the cell shown.